[1]
This record from the Alexandria database describes a relaxed structure of SnN3Cl. The functional is PBE.

Unit cell a=4.3023 b=4.3023 c=4.3023 alpha=90.00 beta=90.00 gamma=90.00
Last column: nearest neighbours and their distance in Å.
Space group Pm-3m (No. 221)
Unique sites:
Sn  0.0000  0.0000  0.0000  6 N 2.15
N  0.0000  0.0000  0.5000  2 Sn 2.15
Cl  0.5000  0.5000  0.5000  12 N 3.04

Summary:
Volume (Å³ per cell): 79.6
Raw formation energy (meV per atom): 1958
Calculated density (Mg/m³): 4.091
M_tot (μB per cell): 6.000
Density of states at the Fermi level (states/eV/f.u.): 0.7
Uncorrected energy (Ry/atom): -0.3092

[2]
This record from the Alexandria database describes a relaxed structure of Sn5N2Cl12. The functional is PBE.

Unit cell a=6.9078 b=7.0781 c=14.4489 alpha=90.02 beta=96.26 gamma=117.07
Last column: nearest neighbours and their distance in Å.
Space group P-1 (No. 2)
Unique sites:
Sn  0.0000  0.0000  0.0000  6 Cl 2.39-2.58
Sn  0.0123  0.6406  0.5902  2 N 2.07-2.11
Sn  0.3185  0.6293  0.1957  3 Cl 2.58-2.83
N  0.0740  0.3916  0.5553  2 Sn 2.07-2.11
Cl  0.0833  0.5605  0.7702  2 Sn 2.58-2.70
Cl  0.1681  0.1133  0.8603  1 Sn 2.39
Cl  0.2078  0.7890  0.0294  1 Sn 2.51
Cl  0.2757  0.9992  0.6216  1 Sn 2.36
Cl  0.3222  0.3194  0.0935  2 Sn 2.58-2.66
Cl  0.3319  0.3965  0.3618  1 Sn 2.45

Summary:
Volume (Å³ per cell): 624.3
Raw formation energy (meV per atom): -502
Calculated density (Mg/m³): 2.785
M_tot (μB per cell): 2.015
Uncorrected energy (Ry/atom): -0.2644

[3]
This record from the Alexandria database describes a relaxed structure of SnN2Cl2. The functional is PBE.

Unit cell a=4.2960 b=4.2991 c=9.9832 alpha=90.15 beta=97.62 gamma=119.97
Last column: nearest neighbours and their distance in Å.
Space group P-1 (No. 2)
Unique sites:
Sn  0.0000  0.0000  0.0000  6 Cl 2.89
N  0.0919  0.0470  0.4610  1 N 1.11
Cl  0.2711  0.6345  0.8498  3 Sn 2.89

Summary:
Volume (Å³ per cell): 157.8
Raw formation energy (meV per atom): -583
Calculated density (Mg/m³): 2.290
M_tot (μB per cell): 0.000
Density of states at the Fermi level (states/eV/f.u.): 0.0
Uncorrected energy (Ry/atom): -0.4007

Which of these has the highest raw formation energy? SnN3Cl